The following is a SCAN calculation of a crystal of EuGdRh2 relaxed with PBEsol, from Alexandria.

Summary:
As for the calculated formation energy: -582 meV per atom. As for the space group: Fm-3m, No. 225.

Unit cell a=4.8249 b=4.8249 c=4.8249 alpha=60.00 beta=60.00 gamma=60.00
Closest atoms and distances in Å follow each position.
Atoms (fractional coordinates):
Eu (0.5000, 0.5000, 0.5000)  8 Rh 2.95
Gd (0.0000, 0.0000, 0.0000)  8 Rh 2.95
Rh (0.2500, 0.2500, 0.2500)  4 Eu 2.95, 4 Gd 2.95
Rh (0.7500, 0.7500, 0.7500)  4 Eu 2.95, 4 Gd 2.95

***

The following is a SCAN calculation of a crystal of LiCaLa2O relaxed with PBEsol, from Alexandria.

Summary:
As for the space group: P4/mmm, No. 123. As for the uncorrected formation energy: 0.50 eV/atom.

Unit cell a=5.1222 b=5.1222 c=5.3224 alpha=90.00 beta=90.00 gamma=90.00
Closest atoms and distances in Å follow each position.
Atoms (fractional coordinates):
Ca (0.0000, 0.0000, 0.5000)  2 Li 2.66
Li (0.0000, 0.0000, 0.0000)  4 La 2.56, 2 Ca 2.66
O (0.5000, 0.5000, 0.5000)  4 Ca 3.62, 8 La 3.69
La (0.0000, 0.5000, 0.0000)  2 Li 2.56
La (0.5000, 0.0000, 0.0000)  2 Li 2.56

***

The following is a SCAN calculation of a crystal of Sr2MgOs relaxed with PBEsol, from Alexandria.

Summary:
As for the calculated formation energy: 520 meV per atom. As for the space group: P4/mmm, No. 123.

Unit cell a=3.5277 b=3.5277 c=8.9476 alpha=90.00 beta=90.00 gamma=90.00
Closest atoms and distances in Å follow each position.
Atoms (fractional coordinates):
Mg (0.5000, 0.5000, 0.0000)  4 Mg 3.53, 8 Sr 3.68
Os (0.5000, 0.5000, 0.5000)  8 Sr 3.05
Sr (0.0000, 0.0000, 0.6970)  4 Os 3.05
Sr (0.0000, 0.0000, 0.3030)  4 Os 3.05

***

The following is a SCAN calculation of a crystal of KSc2Au relaxed with PBEsol, from Alexandria.

Summary:
As for the calculated formation energy: 241 meV per atom. As for the space group: C2/m, No. 12. Its energy relative to the lowest polymorph listed for this composition is 0.467 eV per atom.

Unit cell a=3.1612 b=5.5900 c=6.2122 alpha=115.76 beta=103.14 gamma=93.46
Closest atoms and distances in Å follow each position.
Atoms (fractional coordinates):
Au (0.5000, 0.0000, 0.0000)  4 K 3.13-3.29, 4 Sc 3.15, 2 Au 3.16
K (0.0000, 0.5000, 0.0000)  4 Au 3.13-3.29, 4 Sc 3.15, 2 K 3.16
Sc (0.0000, 0.0000, 0.5000)  6 Sc 3.13-3.29, 2 Au 3.15, 2 K 3.15
Sc (0.5000, 0.5000, 0.5000)  6 Sc 3.13-3.29, 2 K 3.15, 2 Au 3.15

***

The following is a SCAN calculation of a crystal of K2InAu relaxed with PBEsol, from Alexandria.

Summary:
As for the calculated formation energy: -282 meV per atom. As for the space group: Imm2, No. 44.

Unit cell a=4.1882 b=5.8097 c=6.5870 alpha=116.17 beta=108.54 gamma=90.00
Closest atoms and distances in Å follow each position.
Atoms (fractional coordinates):
K (0.9798, 0.9798, 0.9597)  4 K 3.61-3.99, 4 Au 3.65, 4 In 3.73-3.81
K (0.7867, 0.2867, 0.5734)  2 Au 3.51, 2 K 3.61, 4 In 3.73
Au (0.5418, 0.5418, 0.0836)  2 In 2.67
In (0.1917, 0.6917, 0.3834)  2 Au 2.67

***

The following is a SCAN calculation of a crystal of K2YP relaxed with PBEsol, from Alexandria.

Summary:
As for the calculated formation energy: -596 meV per atom. As for the space group: Pm, No. 6.

Unit cell a=3.8426 b=3.9513 c=10.6085 alpha=100.42 beta=90.00 gamma=90.00
Closest atoms and distances in Å follow each position.
Atoms (fractional coordinates):
K (0.0000, 0.9036, 0.9405)  1 P 3.44, 2 K 3.84
K (0.5000, 0.5992, 0.3164)  2 P 3.62, 2 Y 3.84-3.85, 4 K 3.84-3.95
P (0.0000, 0.7433, 0.6105)  4 Y 2.77
Y (0.5000, 0.2539, 0.6325)  4 P 2.77

***

The following is a SCAN calculation of a crystal of CeTaO4 relaxed with PBEsol, from Alexandria.

Summary:
As for the space group: P2_1/c, No. 14. As for the uncorrected formation energy: -3.44 eV/atom.

Unit cell a=5.4114 b=7.5897 c=7.7004 alpha=99.69 beta=90.00 gamma=90.00
Closest atoms and distances in Å follow each position.
Atoms (fractional coordinates):
Ce (0.7243, 0.6488, 0.3978)  6 O 2.29-2.47
Ce (0.2757, 0.3512, 0.6022)  6 O 2.29-2.47
Ce (0.7757, 0.6488, 0.8978)  6 O 2.29-2.47
Ce (0.2243, 0.3512, 0.1022)  6 O 2.29-2.47
O (0.8489, 0.1694, 0.0581)  2 Ta 2.00-2.01
O (0.0078, 0.6626, 0.6288)  1 Ta 1.94
O (0.5072, 0.3872, 0.3334)  1 Ta 2.05, 1 Ce 2.29
O (0.5078, 0.3374, 0.8712)  1 Ta 1.94
O (0.5982, 0.9378, 0.7975)  2 Ta 1.95-2.04
O (0.4922, 0.6626, 0.1288)  1 Ta 1.94
O (0.3489, 0.8306, 0.4419)  2 Ta 2.00-2.01
O (0.4018, 0.0622, 0.2025)  2 Ta 1.95-2.04
O (0.0072, 0.6128, 0.1666)  1 Ta 2.05, 1 Ce 2.29
O (0.0982, 0.0622, 0.7025)  2 Ta 1.95-2.04
O (0.6511, 0.1694, 0.5581)  2 Ta 2.00-2.01
O (0.9928, 0.3872, 0.8334)  1 Ta 2.05, 1 Ce 2.29
O (0.9018, 0.9378, 0.2975)  2 Ta 1.95-2.04
O (0.4928, 0.6128, 0.6666)  1 Ta 2.05, 1 Ce 2.29
O (0.9922, 0.3374, 0.3712)  1 Ta 1.94
O (0.1511, 0.8306, 0.9419)  2 Ta 2.00-2.01
Ta (0.7701, 0.1652, 0.8042)  6 O 1.94-2.05
Ta (0.7299, 0.1652, 0.3042)  6 O 1.94-2.05
Ta (0.2701, 0.8348, 0.6958)  6 O 1.94-2.05
Ta (0.2299, 0.8348, 0.1958)  6 O 1.94-2.05

***

The following is a SCAN calculation of a crystal of K2Mo15Se19 relaxed with PBEsol, from Alexandria.

Summary:
As for the space group: R-3c, No. 167. As for the uncorrected formation energy: -0.66 eV/atom.

Unit cell a=9.6392 b=9.6392 c=20.1403 alpha=76.15 beta=76.15 gamma=60.00
Closest atoms and distances in Å follow each position.
Atoms (fractional coordinates):
K (0.3874, 0.3874, 0.8378)  4 Se 3.20-3.40
K (0.8874, 0.8874, 0.3378)  4 Se 3.20-3.40
K (0.6126, 0.6126, 0.1622)  4 Se 3.20-3.40
K (0.1126, 0.1126, 0.6622)  4 Se 3.20-3.40
Mo (0.6276, 0.3115, 0.5587)  5 Se 2.53-2.60, 4 Mo 2.66-2.74
Mo (0.5023, 0.6276, 0.5587)  5 Se 2.53-2.60, 4 Mo 2.66-2.74
Mo (0.3115, 0.5023, 0.5587)  5 Se 2.53-2.60, 4 Mo 2.66-2.74
Mo (0.8115, 0.1276, 0.0587)  5 Se 2.53-2.60, 4 Mo 2.66-2.74
Mo (0.0023, 0.8115, 0.0587)  5 Se 2.53-2.60, 4 Mo 2.66-2.74
Mo (0.1276, 0.0023, 0.0587)  5 Se 2.53-2.60, 4 Mo 2.66-2.74
Mo (0.3724, 0.6885, 0.4413)  5 Se 2.53-2.60, 4 Mo 2.66-2.74
Mo (0.4977, 0.3724, 0.4413)  5 Se 2.53-2.60, 4 Mo 2.66-2.74
Mo (0.6885, 0.4977, 0.4413)  5 Se 2.53-2.60, 4 Mo 2.66-2.74
Mo (0.1885, 0.8724, 0.9413)  5 Se 2.53-2.60, 4 Mo 2.66-2.74
Mo (0.9977, 0.1885, 0.9413)  5 Se 2.53-2.60, 4 Mo 2.66-2.74
Mo (0.8724, 0.9977, 0.9413)  5 Se 2.53-2.60, 4 Mo 2.66-2.74
Mo (0.4532, 0.1367, 0.1325)  5 Se 2.53-2.70, 4 Mo 2.65-2.79
Mo (0.2776, 0.4532, 0.1325)  5 Se 2.53-2.70, 4 Mo 2.65-2.79
Mo (0.1367, 0.2776, 0.1325)  5 Se 2.53-2.70, 4 Mo 2.65-2.79
Mo (0.6367, 0.9532, 0.6325)  5 Se 2.53-2.70, 4 Mo 2.65-2.79
Mo (0.7776, 0.6367, 0.6325)  5 Se 2.53-2.70, 4 Mo 2.65-2.79
Mo (0.9532, 0.7776, 0.6325)  5 Se 2.53-2.70, 4 Mo 2.65-2.79
Mo (0.5468, 0.8633, 0.8675)  5 Se 2.53-2.70, 4 Mo 2.65-2.79
Mo (0.7224, 0.5468, 0.8675)  5 Se 2.53-2.70, 4 Mo 2.65-2.79
Mo (0.8633, 0.7224, 0.8675)  5 Se 2.53-2.70, 4 Mo 2.65-2.79
Mo (0.3633, 0.0468, 0.3675)  5 Se 2.53-2.70, 4 Mo 2.65-2.79
Mo (0.2224, 0.3633, 0.3675)  5 Se 2.53-2.70, 4 Mo 2.65-2.79
Mo (0.0468, 0.2224, 0.3675)  5 Se 2.53-2.70, 4 Mo 2.65-2.79
Mo (0.2500, 0.0905, 0.2500)  4 Se 2.52-2.58, 6 Mo 2.66-2.79
Mo (0.4095, 0.2500, 0.2500)  4 Se 2.52-2.58, 6 Mo 2.66-2.79
Mo (0.0905, 0.4095, 0.2500)  4 Se 2.52-2.58, 6 Mo 2.66-2.79
Mo (0.5905, 0.7500, 0.7500)  4 Se 2.52-2.58, 6 Mo 2.66-2.79
Mo (0.9095, 0.5905, 0.7500)  4 Se 2.52-2.58, 6 Mo 2.66-2.79
Mo (0.7500, 0.9095, 0.7500)  4 Se 2.52-2.58, 6 Mo 2.66-2.79
Se (0.8110, 0.4438, 0.5491)  4 Mo 2.54-2.65
Se (0.1961, 0.8110, 0.5491)  4 Mo 2.54-2.65
Se (0.4438, 0.1961, 0.5491)  4 Mo 2.54-2.65
Se (0.9438, 0.3110, 0.0491)  4 Mo 2.54-2.65
Se (0.6961, 0.9438, 0.0491)  4 Mo 2.54-2.65
Se (0.3110, 0.6961, 0.0491)  4 Mo 2.54-2.65
Se (0.1890, 0.5562, 0.4509)  4 Mo 2.54-2.65
Se (0.8039, 0.1890, 0.4509)  4 Mo 2.54-2.65
Se (0.5562, 0.8039, 0.4509)  4 Mo 2.54-2.65
Se (0.0562, 0.6890, 0.9509)  4 Mo 2.54-2.65
Se (0.3039, 0.0562, 0.9509)  4 Mo 2.54-2.65
Se (0.6890, 0.3039, 0.9509)  4 Mo 2.54-2.65
Se (0.3100, 0.9663, 0.1432)  4 Mo 2.52-2.59
Se (0.5806, 0.3100, 0.1432)  4 Mo 2.52-2.59
Se (0.9663, 0.5806, 0.1432)  4 Mo 2.52-2.59
Se (0.4663, 0.8100, 0.6432)  4 Mo 2.52-2.59
Se (0.0806, 0.4663, 0.6432)  4 Mo 2.52-2.59
Se (0.8100, 0.0806, 0.6432)  4 Mo 2.52-2.59
Se (0.6900, 0.0337, 0.8568)  4 Mo 2.52-2.59
Se (0.4194, 0.6900, 0.8568)  4 Mo 2.52-2.59
Se (0.0337, 0.4194, 0.8568)  4 Mo 2.52-2.59
Se (0.5337, 0.1900, 0.3568)  4 Mo 2.52-2.59
Se (0.9194, 0.5337, 0.3568)  4 Mo 2.52-2.59
Se (0.1900, 0.9194, 0.3568)  4 Mo 2.52-2.59
Se (0.2500, 0.5587, 0.2500)  4 Mo 2.58-2.70
Se (0.9413, 0.2500, 0.2500)  4 Mo 2.58-2.70
Se (0.5587, 0.9413, 0.2500)  4 Mo 2.58-2.70
Se (0.0587, 0.7500, 0.7500)  4 Mo 2.58-2.70
Se (0.4413, 0.0587, 0.7500)  4 Mo 2.58-2.70
Se (0.7500, 0.4413, 0.7500)  4 Mo 2.58-2.70
Se (0.4459, 0.4459, 0.6624)  3 Mo 2.53
Se (0.9459, 0.9459, 0.1624)  3 Mo 2.53
Se (0.5541, 0.5541, 0.3376)  3 Mo 2.53
Se (0.0541, 0.0541, 0.8376)  3 Mo 2.53
Se (0.3238, 0.3238, 0.0286)  3 Mo 2.53
Se (0.8238, 0.8238, 0.5286)  3 Mo 2.53
Se (0.6762, 0.6762, 0.9714)  3 Mo 2.53
Se (0.1762, 0.1762, 0.4714)  3 Mo 2.53

***

The following is a SCAN calculation of a crystal of AlCrAs2Se relaxed with PBEsol, from Alexandria.

Summary:
As for the space group: P4/mmm, No. 123. As for the uncorrected formation energy: 0.36 eV/atom.

Unit cell a=4.4475 b=4.4475 c=5.2745 alpha=90.00 beta=90.00 gamma=90.00
Closest atoms and distances in Å follow each position.
Atoms (fractional coordinates):
Cr (0.0000, 0.0000, 0.0000)  4 As 2.22
As (0.0000, 0.5000, 0.0000)  2 Cr 2.22
As (0.5000, 0.0000, 0.0000)  2 Cr 2.22
Al (0.5000, 0.5000, 0.5000)  4 Se 3.14, 8 As 3.45
Se (0.0000, 0.0000, 0.5000)  2 Cr 2.64

***

The following is a SCAN calculation of a crystal of TiPRh2O relaxed with PBEsol, from Alexandria.

Summary:
As for the space group: P4/mmm, No. 123. As for the uncorrected formation energy: -0.10 eV/atom.

Unit cell a=3.9317 b=3.9317 c=4.2801 alpha=90.00 beta=90.00 gamma=90.00
Closest atoms and distances in Å follow each position.
Atoms (fractional coordinates):
P (0.0000, 0.0000, 0.5000)  2 O 2.14
Rh (0.0000, 0.5000, 0.0000)  2 O 1.97
Rh (0.5000, 0.0000, 0.0000)  2 O 1.97
O (0.0000, 0.0000, 0.0000)  4 Rh 1.97, 2 P 2.14
Ti (0.5000, 0.5000, 0.5000)  4 P 2.78, 8 Rh 2.91